A relaxed La2ErSb3 crystal. Source: Alexandria, functional PBE.

a b c (Å): 7.848 7.848 7.848
angles (deg): 146.36 131.60 60.23
Element x y z (fractional)
La (0.169, 0.169, 0.000)
La (0.831, 0.831, 0.000)
Er (0.500, 0.500, 0.000)
Sb (0.000, 0.500, 0.500)
Sb (0.342, 0.842, 0.500)
Sb (0.658, 0.158, 0.500)

Results
distance to the lowest polymorph of the same formula: 5.7 meV per atom
symmetry: Immm (71)
DOS(E_F): 0.89 states/eV/cell